K2FePCO7: relaxed, PBE with a Hubbard U.

Calculated values
* Fermi-level density of states: 0.00 states/eV/atom
* E: -6.663 eV per atom

abc: 5.5793 6.7990 9.7902
angles: 90.00 91.19 90.00
Space group P2_1/m (No. 11)
Symmetry-distinct sites (fractional):
K: 0.2493 0.0238 0.2671 [4 per cell]
Fe: 0.2204 0.2500 0.8658 [2 per cell]
P: 0.2729 0.7500 0.9363 [2 per cell]
C: 0.2636 0.2500 0.6094 [2 per cell]
O: 0.0543 0.2500 0.6683 [2 per cell]
O: 0.1161 0.7500 0.0665 [2 per cell]
O: 0.2200 0.5625 0.8506 [4 per cell]
O: 0.2940 0.2500 0.4832 [2 per cell]
O: 0.4430 0.2500 0.7006 [2 per cell]
O: 0.4540 0.2500 0.0201 [2 per cell]